# 1
The following is a meta-GGA SCAN calculation of a crystal of CaZrTc2 relaxed with PBEsol, from Alexandria.

Cell: 3.878 3.878 5.500 Å, 110.64 110.64 90.00°
Positions (direct):
Tc 0.000 0.000 0.000
Tc 0.750 0.250 0.500
Zr 0.500 0.500 0.000
Ca 0.250 0.750 0.500

Output
- DFT formation energy (eV per formula unit) = 2.3
- polymorph energy (0 for the lowest one) (eV per atom) = 0.3450

# 2
The following is a meta-GGA SCAN calculation of a crystal of CaZrTc2 relaxed with PBEsol, from Alexandria.

Cell: 3.074 3.889 7.010 Å, 90.00 97.21 90.00°
Positions (direct):
Tc 0.076 0.000 0.075
Tc 0.451 0.500 0.218
Zr 0.924 0.000 0.420
Ca 0.548 0.500 0.787

Output
- DFT formation energy (eV per formula unit) = 0.9
- polymorph energy (0 for the lowest one) (eV per atom) = 0.0000

# 3
The following is a meta-GGA SCAN calculation of a crystal of CaTe relaxed with PBEsol, from Alexandria.

Cell: 4.395 4.395 7.558 Å, 90.00 90.00 120.00°
Positions (direct):
Ca 0.000 0.000 0.500
Ca 0.000 0.000 0.000
Te 0.333 0.667 0.250
Te 0.667 0.333 0.750

Output
- formation energy from raw total energies (eV/f.u.) = -3.59

Repeat the second record exactly.
The following is a meta-GGA SCAN calculation of a crystal of CaZrTc2 relaxed with PBEsol, from Alexandria.

Cell: 3.074 3.889 7.010 Å, 90.00 97.21 90.00°
Positions (direct):
Tc 0.076 0.000 0.075
Tc 0.451 0.500 0.218
Zr 0.924 0.000 0.420
Ca 0.548 0.500 0.787

Output
- DFT formation energy (eV per formula unit) = 0.9
- polymorph energy (0 for the lowest one) (eV per atom) = 0.0000

Copy entry 2 word for word.
The following is a meta-GGA SCAN calculation of a crystal of CaZrTc2 relaxed with PBEsol, from Alexandria.

Cell: 3.074 3.889 7.010 Å, 90.00 97.21 90.00°
Positions (direct):
Tc 0.076 0.000 0.075
Tc 0.451 0.500 0.218
Zr 0.924 0.000 0.420
Ca 0.548 0.500 0.787

Output
- DFT formation energy (eV per formula unit) = 0.9
- polymorph energy (0 for the lowest one) (eV per atom) = 0.0000